#i
Ti3H2O7 | GGA-PBE | relaxed

a = 8.3077 Å, b = 8.3077 Å, c = 9.2688 Å
α = 78.70°, β = 78.70°, γ = 26.31°
Fractional coordinates of all 24 atoms:
O 0.6503 0.6503 0.1801
O 0.9903 0.9903 0.8665
O 0.9215 0.9215 0.6044
O 0.0126 0.0126 0.1371
O 0.0769 0.0769 0.4033
O 0.7610 0.7610 0.7479
O 0.1702 0.1702 0.9655
O 0.8657 0.8657 0.3131
O 0.2376 0.2376 0.2535
O 0.3494 0.3494 0.8175
O 0.8301 0.8301 0.0280
O 0.7066 0.7066 0.4583
O 0.1346 0.1346 0.6834
O 0.2950 0.2950 0.5425
Ti 0.1760 0.1760 0.4857
Ti 0.1210 0.1210 0.1673
Ti 0.7714 0.7714 0.2118
Ti 0.2286 0.2286 0.7835
Ti 0.8320 0.8320 0.5132
Ti 0.8753 0.8753 0.8204
H 0.9995 0.9995 0.9733
H 0.0194 0.0194 0.4671
H 0.9561 0.9561 0.2082
H 0.0462 0.0462 0.7933

Results
Space-group type: Cm (8)


#ii
Ti3H2O7 | GGA-PBE | relaxed

a = 3.7761 Å, b = 8.2311 Å, c = 9.4169 Å
α = 100.49°, β = 90.17°, γ = 99.90°
Fractional coordinates of all 24 atoms:
H 0.0037 0.9145 0.7709
H 0.3373 0.9904 0.8823
H 0.9947 0.0788 0.2259
H 0.9577 0.0014 0.0532
O 0.8305 0.7452 0.6765
O 0.2624 0.5839 0.4544
O 0.1091 0.0152 0.8510
O 0.2335 0.4999 0.7582
O 0.8502 0.8206 0.3746
O 0.6698 0.3274 0.8334
O 0.6992 0.4181 0.5475
O 0.7302 0.5007 0.2437
O 0.1045 0.1809 0.6254
O 0.9101 0.9743 0.1495
O 0.1583 0.3074 0.0353
O 0.2929 0.6690 0.1653
O 0.1336 0.2570 0.3239
O 0.8015 0.6898 0.9626
Ti 0.7897 0.6550 0.4806
Ti 0.2044 0.4307 0.2085
Ti 0.1546 0.2768 0.8211
Ti 0.8108 0.7273 0.1772
Ti 0.1714 0.3459 0.5169
Ti 0.7584 0.5696 0.7889

Results
Space-group type: P1 (1)


#iii
Ti3H2O7 | GGA-PBE | relaxed

a = 8.3698 Å, b = 8.3698 Å, c = 9.5301 Å
α = 80.51°, β = 80.51°, γ = 26.02°
Fractional coordinates of all 24 atoms:
O 0.0823 0.0823 0.3906
O 0.1709 0.1709 0.9589
O 0.1350 0.1350 0.6738
O 0.6549 0.6549 0.1732
O 0.9826 0.9826 0.8482
O 0.3451 0.3451 0.8268
O 0.9177 0.9177 0.6094
O 0.8650 0.8650 0.3262
O 0.8291 0.8291 0.0411
O 0.7602 0.7602 0.7457
O 0.7071 0.7071 0.4573
O 0.2929 0.2929 0.5427
O 0.0174 0.0174 0.1518
O 0.2398 0.2398 0.2543
H 0.0407 0.0407 0.7966
H 0.9780 0.9780 0.5970
H 0.9593 0.9593 0.2034
H 0.0220 0.0220 0.4030
Ti 0.2290 0.2290 0.7859
Ti 0.8248 0.8248 0.5119
Ti 0.7710 0.7710 0.2142
Ti 0.1252 0.1252 0.1562
Ti 0.1752 0.1752 0.4881
Ti 0.8748 0.8748 0.8438

Results
Space-group type: C2/m (12)


Stability ranking, top entry: #i; the second entry is 23 meV/atom less favorable.


#i
Ti3H2O7 | GGA-PBE | relaxed

a = 8.4912 Å, b = 8.4912 Å, c = 9.2609 Å
α = 78.24°, β = 78.24°, γ = 25.86°
Fractional coordinates of all 24 atoms:
Ti 0.1752 0.1752 0.4748
Ti 0.1092 0.1092 0.1859
Ti 0.8272 0.8272 0.5292
Ti 0.8810 0.8810 0.8269
Ti 0.7799 0.7799 0.2237
Ti 0.2314 0.2314 0.7922
H 0.9527 0.9527 0.2193
H 0.6719 0.6719 0.0518
H 0.9956 0.9956 0.9625
H 0.0748 0.0748 0.7477
O 0.9877 0.9877 0.8582
O 0.3463 0.3463 0.8252
O 0.0081 0.0081 0.1447
O 0.2898 0.2898 0.5491
O 0.1340 0.1340 0.6855
O 0.9132 0.9132 0.6135
O 0.7554 0.7554 0.7535
O 0.0850 0.0850 0.3880
O 0.8665 0.8665 0.3223
O 0.7039 0.7039 0.4528
O 0.8284 0.8284 0.0364
O 0.1699 0.1699 0.9728
O 0.2429 0.2429 0.2559
O 0.6504 0.6504 0.1599

Results
Space-group type: Cm (8)


#ii
Ti3H2O7 | GGA-PBE | relaxed

a = 3.7637 Å, b = 9.4579 Å, c = 8.3246 Å
α = 100.58°, β = 101.05°, γ = 89.86°
Fractional coordinates of all 24 atoms:
O 0.8498 0.6729 0.7440
O 0.1689 0.0370 0.3001
O 0.8311 0.9630 0.6999
O 0.2472 0.7587 0.5042
O 0.7157 0.5479 0.4191
O 0.6769 0.8382 0.3394
O 0.9803 0.8428 0.0280
O 0.1250 0.6287 0.1860
O 0.2843 0.4521 0.5809
O 0.0197 0.1572 0.9720
O 0.8750 0.3713 0.8140
O 0.3231 0.1618 0.6606
O 0.7528 0.2413 0.4958
O 0.1502 0.3271 0.2560
Ti 0.8133 0.4804 0.6520
Ti 0.1457 0.8238 0.2800
Ti 0.7777 0.7912 0.5751
Ti 0.8543 0.1762 0.7200
Ti 0.1867 0.5196 0.3480
Ti 0.2223 0.2088 0.4249
H 0.8316 0.9228 0.0009
H 0.0683 0.2373 0.0758
H 0.1684 0.0772 0.9991
H 0.9317 0.7627 0.9242

Results
Space-group type: P-1 (2)


Stability ranking, top entry: #ii; the second entry is 6 meV/atom less favorable.


#i
TlH3O | GGA-PBE | relaxed

a = 6.3716 Å, b = 5.6437 Å, c = 4.3828 Å
α = 90.00°, β = 90.00°, γ = 111.21°
Fractional coordinates of all 10 atoms:
H 0.4526 0.1701 0.4276
H 0.8755 0.4922 0.7500
H 0.4526 0.1701 0.0724
H 0.5474 0.8299 0.5724
H 0.1245 0.5078 0.2500
H 0.5474 0.8299 0.9276
Tl 0.8867 0.6790 0.2500
Tl 0.1133 0.3210 0.7500
O 0.5508 0.1880 0.2500
O 0.4492 0.8120 0.7500

Results
Space-group type: P2_1/m (11)


#ii
TlH3O | GGA-PBE | relaxed

a = 3.8029 Å, b = 3.8029 Å, c = 3.8029 Å
α = 90.00°, β = 90.00°, γ = 90.00°
Fractional coordinates of all 5 atoms:
Tl 0.0000 0.0000 0.0000
O 0.5000 0.5000 0.5000
H 0.0000 0.5000 0.0000
H 0.5000 0.0000 0.0000
H 0.0000 0.0000 0.5000

Results
Space-group type: Pm-3m (221)


#iii
TlH3O | GGA-PBE | relaxed

a = 3.5897 Å, b = 3.5897 Å, c = 3.5897 Å
α = 90.00°, β = 90.00°, γ = 90.00°
Fractional coordinates of all 5 atoms:
O 0.0000 0.0000 0.0000
H 0.5000 0.0000 0.0000
H 0.0000 0.0000 0.5000
H 0.0000 0.5000 0.0000
Tl 0.5000 0.5000 0.5000

Results
Space-group type: Pm-3m (221)


Stability ranking, top entry: #i; the second entry is 1170 meV/atom less favorable.


#i
Tl2HO | GGA-PBE | relaxed

a = 4.5874 Å, b = 4.5874 Å, c = 4.5874 Å
α = 60.00°, β = 60.00°, γ = 60.00°
Fractional coordinates of all 4 atoms:
Tl 0.7500 0.7500 0.7500
Tl 0.2500 0.2500 0.2500
H 0.0000 0.0000 0.0000
O 0.5000 0.5000 0.5000

Results
Space-group type: Fm-3m (225)


#ii
Tl2HO | GGA-PBE | relaxed

a = 3.5787 Å, b = 5.1772 Å, c = 10.8148 Å
α = 90.00°, β = 90.00°, γ = 90.00°
Fractional coordinates of all 8 atoms:
Tl 0.2500 0.8432 0.1398
Tl 0.7500 0.7078 0.4482
Tl 0.7500 0.3432 0.8602
Tl 0.2500 0.2078 0.5518
H 0.7500 0.2962 0.1303
H 0.2500 0.7962 0.8697
O 0.7500 0.1528 0.0714
O 0.2500 0.6529 0.9286

Results
Space-group type: Pmn2_1 (31)


Stability ranking, top entry: #ii; the second entry is 734 meV/atom less favorable.


#i
TlH4O2 | GGA-PBE | relaxed

a = 3.9456 Å, b = 5.4692 Å, c = 5.4692 Å
α = 90.00°, β = 90.00°, γ = 90.00°
Fractional coordinates of all 14 atoms:
H 0.5000 0.9275 0.5352
H 0.0000 0.4275 0.9648
H 0.5000 0.5352 0.9275
H 0.5000 0.0725 0.4648
H 0.0000 0.9648 0.4275
H 0.0000 0.0352 0.5725
H 0.0000 0.5725 0.0352
H 0.5000 0.4648 0.0725
O 0.0000 0.7955 0.2045
O 0.0000 0.2045 0.7955
O 0.5000 0.7045 0.7045
O 0.5000 0.2955 0.2955
Tl 0.5000 0.0000 0.0000
Tl 0.0000 0.5000 0.5000

Results
Space-group type: P4_2/mnm (136)


#ii
TlH4O2 | GGA-PBE | relaxed

a = 3.7205 Å, b = 3.7205 Å, c = 6.3656 Å
α = 73.01°, β = 73.01°, γ = 90.00°
Fractional coordinates of all 7 atoms:
O 0.3757 0.3757 0.2486
O 0.6243 0.6243 0.7514
H 0.2911 0.2911 0.4178
H 0.0000 0.5000 0.0000
H 0.5000 0.0000 0.0000
H 0.7089 0.7089 0.5822
Tl 0.0000 0.0000 0.0000

Results
Space-group type: I4/mmm (139)


Stability ranking, top entry: #ii; the second entry is 8 meV/atom less favorable.


#i
UHO | GGA-PBE | relaxed

a = 3.7940 Å, b = 3.7940 Å, c = 3.7940 Å
α = 60.00°, β = 60.00°, γ = 60.00°
Fractional coordinates of all 3 atoms:
O 0.0000 0.0000 0.0000
U 0.2500 0.2500 0.2500
H 0.5000 0.5000 0.5000

Results
Space-group type: F-43m (216)


#ii
UHO | GGA-PBE | relaxed

a = 3.3109 Å, b = 3.7889 Å, c = 3.7889 Å
α = 120.00°, β = 90.00°, γ = 90.00°
Fractional coordinates of all 3 atoms:
O 0.1668 0.3333 0.6667
U 0.1666 0.0000 0.0000
H 0.6667 0.6667 0.3333

Results
Space-group type: P-6m2 (187)


Stability ranking, top entry: #i; the second entry is 335 meV/atom less favorable.